Here is a relaxed Mg3Ag crystal from Alexandria via LeMat-Bulk. Energies are from PBE-GGA.

The structure in extended XYZ format:
```
4
Lattice="3.0424 0.0000 0.0000 0.0000 4.7764 0.0000 -0.9978 0.0000 5.6142" Properties=species:S:1:pos:R:3 pbc="T T T"
Mg 0.0000 0.0000 0.0000
Mg 0.1702 2.3882 4.1477
Mg 1.8744 2.3882 1.4666
Ag 1.0223 0.0000 2.8071
```

Calculated values
Final energy in eV per atom: -1.9909
ΔE_f in eV per formula unit: -0.328
Space group: P2/m (10)